Entry 1:
Below is Sr3LaI after structural relaxation, with properties calculated at the PBE-GGA level. Values from VASP.

- ΔE to the lowest computed polymorph: 525 meV per atom
- Uncorrected energy: -1.841 eV per atom
- Formation energy without anion corrections: 463 meV/atom
- SG: No. 221

Structure (Quantum ESPRESSO input):
```
&SYSTEM
  ibrav = 0, nat = 5, ntyp = 3
/
ATOMIC_SPECIES
Sr 87.62 Sr.upf
La 138.91 La.upf
I 126.90 I.upf
ATOMIC_POSITIONS angstrom
Sr 0.000 0.000 3.408
Sr 0.000 3.408 0.000
Sr 3.408 0.000 0.000
La 0.000 0.000 0.000
I 3.408 3.408 3.408
CELL_PARAMETERS angstrom
6.816 0.000 0.000
0.000 6.816 0.000
0.000 0.000 6.816
```

***

Entry 2:
Below is CsMnRh3 after structural relaxation, with properties calculated at the PBE-GGA level. Values from VASP.

- ΔE to the lowest computed polymorph: 1704 meV per atom
- ΔH_f (0 K): 2667 meV per atom
- Uncorrected energy: -3.749 eV per atom
- SG: No. 221

Structure (Quantum ESPRESSO input):
```
&SYSTEM
  ibrav = 0, nat = 5, ntyp = 3
/
ATOMIC_SPECIES
Cs 132.91 Cs.upf
Mn 54.94 Mn.upf
Rh 102.91 Rh.upf
ATOMIC_POSITIONS angstrom
Cs 0.000 0.000 0.000
Mn 2.440 2.440 2.440
Rh 0.000 0.000 2.440
Rh 0.000 2.440 0.000
Rh 2.440 0.000 0.000
CELL_PARAMETERS angstrom
4.880 0.000 0.000
0.000 4.880 0.000
0.000 0.000 4.880
```

***

Entry 3:
Below is CaRe3Sn after structural relaxation, with properties calculated at the PBE-GGA level. Values from VASP.

- ΔE to the lowest computed polymorph: 833 meV per atom
- ΔH_f (0 K): 3049 meV per atom
- Uncorrected energy: -5.621 eV per atom
- SG: No. 221

Structure (Quantum ESPRESSO input):
```
&SYSTEM
  ibrav = 0, nat = 5, ntyp = 3
/
ATOMIC_SPECIES
Ca 40.08 Ca.upf
Re 186.21 Re.upf
Sn 118.71 Sn.upf
ATOMIC_POSITIONS angstrom
Ca 0.000 0.000 0.000
Re 0.000 0.000 2.345
Re 0.000 2.345 0.000
Re 2.345 0.000 0.000
Sn 2.345 2.345 2.345
CELL_PARAMETERS angstrom
4.690 0.000 0.000
0.000 4.690 0.000
0.000 0.000 4.690
```

***

no.,density (g/cm3),total magnetization (μB/f.u.)
1,2.773,4.05
2,7.094,0.86
3,11.547,2.61